VASP calculation (GGA-PBE) on a geometry-optimized Fe2RuRhN structure.

Summary:
The raw formation energy comes out at 8.0 kJ per mole of atoms. For the total energy, the calculation gives -8.29 eV/atom. The density of states at the Fermi level comes out at 5.7 states/eV/cell.

Cell: 3.895 3.895 3.945 Å, 90.00 90.00 90.00°
Site moments in Bohr magnetons follow the coordinates.
Fractional coordinates of all 5 atoms:
Ru  0.000  0.000  0.500  0.12
Rh  0.500  0.500  0.500  0.72
Fe  0.000  0.500  0.000  2.60
Fe  0.500  0.000  0.000  2.60
N  0.000  0.000  0.000  -0.03

VASP calculation (GGA-PBE) on a geometry-optimized FeRhS2N structure.

Summary:
The raw formation energy comes out at 50.4 kJ per mole of atoms. Its polymorph energy (0 for the lowest one) is 0.0 kJ per mole of atoms. For the total energy, the calculation gives -5.96 eV/atom. The density of states at the Fermi level comes out at 4.3 states/eV/cell.

Cell: 4.552 4.552 3.336 Å, 90.00 90.00 90.00°
Fractional coordinates of all 5 atoms:
S  0.000  0.500  0.000
S  0.500  0.000  0.000
Rh  0.500  0.500  0.500
Fe  0.000  0.000  0.000
N  0.000  0.000  0.500

VASP calculation (GGA-PBE) on a geometry-optimized FeRhS2N structure.

Summary:
The raw formation energy comes out at 74.4 kJ per mole of atoms. Its polymorph energy (0 for the lowest one) is 24.0 kJ per mole of atoms. For the total energy, the calculation gives -5.71 eV/atom. The density of states at the Fermi level comes out at 6.4 states/eV/cell.

Cell: 4.858 4.858 3.608 Å, 90.00 90.00 90.00°
Site moments in Bohr magnetons follow the coordinates.
Fractional coordinates of all 5 atoms:
S  0.000  0.500  0.000  0.12
S  0.500  0.000  0.000  0.12
Rh  0.000  0.000  0.000  0.01
Fe  0.500  0.500  0.500  3.50
N  0.000  0.000  0.500  0.03

VASP calculation (GGA-PBE) on a geometry-optimized FeSbRhN2 structure.

Summary:
The raw formation energy comes out at 69.6 kJ per mole of atoms. For the total energy, the calculation gives -6.60 eV/atom. The density of states at the Fermi level comes out at 3.1 states/eV/cell.

Cell: 3.610 5.387 3.610 Å, 90.00 90.00 90.00°
Fractional coordinates of all 5 atoms:
Sb  0.500  0.500  0.500
Rh  0.000  0.500  0.000
Fe  0.000  0.000  0.000
N  0.000  0.000  0.500
N  0.500  0.000  0.000

VASP calculation (GGA-PBE) on a geometry-optimized FeRhSeN2 structure.

Summary:
The raw formation energy comes out at 84.0 kJ per mole of atoms. Its polymorph energy (0 for the lowest one) is 0.0 kJ per mole of atoms. For the total energy, the calculation gives -6.32 eV/atom. The density of states at the Fermi level comes out at 3.9 states/eV/cell.

Cell: 3.540 3.540 5.456 Å, 90.00 90.00 90.00°
Site moments in Bohr magnetons follow the coordinates.
Fractional coordinates of all 5 atoms:
Rh  0.500  0.500  0.500  0.44
Fe  0.000  0.000  0.000  0.00
Se  0.000  0.000  0.500  0.04
N  0.000  0.500  0.000  0.06
N  0.500  0.000  0.000  0.06

VASP calculation (GGA-PBE) on a geometry-optimized FeRhSeN2 structure.

Summary:
The raw formation energy comes out at 111.9 kJ per mole of atoms. Its polymorph energy (0 for the lowest one) is 27.8 kJ per mole of atoms. For the total energy, the calculation gives -6.03 eV/atom. The density of states at the Fermi level comes out at 5.9 states/eV/cell.

Cell: 3.743 3.743 5.774 Å, 90.00 90.00 90.00°
Site moments in Bohr magnetons follow the coordinates.
Fractional coordinates of all 5 atoms:
Rh  0.000  0.000  0.000  -0.09
Fe  0.500  0.500  0.500  3.24
Se  0.000  0.000  0.500  0.07
N  0.000  0.500  0.000  0.14
N  0.500  0.000  0.000  0.14

VASP calculation (GGA-PBE) on a geometry-optimized FeRhSe2N structure.

Summary:
The raw formation energy comes out at 68.2 kJ per mole of atoms. Its polymorph energy (0 for the lowest one) is 28.8 kJ per mole of atoms. For the total energy, the calculation gives -5.52 eV/atom. The density of states at the Fermi level comes out at 6.9 states/eV/cell.

Cell: 5.119 5.119 3.605 Å, 90.00 90.00 90.00°
Site moments in Bohr magnetons follow the coordinates.
Fractional coordinates of all 5 atoms:
Rh  0.000  0.000  0.000  -0.02
Fe  0.500  0.500  0.500  3.40
Se  0.000  0.500  0.000  0.07
Se  0.500  0.000  0.000  0.07
N  0.000  0.000  0.500  -0.01

VASP calculation (GGA-PBE) on a geometry-optimized FeRhSe2N structure.

Summary:
The raw formation energy comes out at 39.3 kJ per mole of atoms. Its polymorph energy (0 for the lowest one) is 0.0 kJ per mole of atoms. For the total energy, the calculation gives -5.81 eV/atom. The density of states at the Fermi level comes out at 4.5 states/eV/cell.

Cell: 4.799 4.799 3.335 Å, 90.00 90.00 90.00°
Fractional coordinates of all 5 atoms:
Rh  0.500  0.500  0.500
Fe  0.000  0.000  0.000
Se  0.000  0.500  0.000
Se  0.500  0.000  0.000
N  0.000  0.000  0.500

VASP calculation (GGA-PBE) on a geometry-optimized Ta2FeRhN structure.

Summary:
The raw formation energy comes out at -52.9 kJ per mole of atoms. Its polymorph energy (0 for the lowest one) is 0.0 kJ per mole of atoms. For the total energy, the calculation gives -10.12 eV/atom. The density of states at the Fermi level comes out at 3.0 states/eV/cell.

Cell: 4.231 4.231 3.776 Å, 90.00 90.00 90.00°
Site moments in Bohr magnetons follow the coordinates.
Fractional coordinates of all 5 atoms:
N  0.000  0.000  0.000  0.03
Rh  0.500  0.500  0.500  0.03
Fe  0.000  0.000  0.500  1.74
Ta  0.000  0.500  0.000  -0.05
Ta  0.500  0.000  0.000  -0.05

VASP calculation (GGA-PBE) on a geometry-optimized Ta2FeRhN structure.

Summary:
The raw formation energy comes out at 169.3 kJ per mole of atoms. Its polymorph energy (0 for the lowest one) is 222.2 kJ per mole of atoms. For the total energy, the calculation gives -7.81 eV/atom. The density of states at the Fermi level comes out at 6.1 states/eV/cell.

Cell: 4.524 4.321 4.524 Å, 90.00 90.00 90.00°
Fractional coordinates of all 5 atoms:
N  0.500  0.500  0.500
Rh  0.000  0.500  0.000
Fe  0.000  0.000  0.000
Ta  0.000  0.000  0.500
Ta  0.500  0.000  0.000

VASP calculation (GGA-PBE) on a geometry-optimized FeTeRhN2 structure.

Summary:
The raw formation energy comes out at 116.4 kJ per mole of atoms. Its polymorph energy (0 for the lowest one) is 29.5 kJ per mole of atoms. For the total energy, the calculation gives -5.91 eV/atom. The density of states at the Fermi level comes out at 5.4 states/eV/cell.

Cell: 3.780 3.780 6.159 Å, 90.00 90.00 90.00°
Site moments in Bohr magnetons follow the coordinates.
Fractional coordinates of all 5 atoms:
Te  0.000  0.000  0.500  0.00
Rh  0.000  0.000  0.000  -0.08
Fe  0.500  0.500  0.500  2.85
N  0.000  0.500  0.000  0.16
N  0.500  0.000  0.000  0.16

VASP calculation (GGA-PBE) on a geometry-optimized FeTeRhN2 structure.

Summary:
The raw formation energy comes out at 87.0 kJ per mole of atoms. Its polymorph energy (0 for the lowest one) is 0.0 kJ per mole of atoms. For the total energy, the calculation gives -6.22 eV/atom. The density of states at the Fermi level comes out at 4.1 states/eV/cell.

Cell: 3.619 3.619 5.754 Å, 90.00 90.00 90.00°
Site moments in Bohr magnetons follow the coordinates.
Fractional coordinates of all 5 atoms:
Te  0.000  0.000  0.500  0.01
Rh  0.500  0.500  0.500  0.24
Fe  0.000  0.000  0.000  -0.03
N  0.000  0.500  0.000  0.06
N  0.500  0.000  0.000  0.06